Here is a relaxed structure of Ca2Sc2Bi2As from Alexandria via LeMat-Bulk. Energies are from PBE.

The formation energy comes out at -0.860 eV per atom. As for the raw total energy: -5.014 eV/atom. The size of the total moment comes out at 0.00 μB/cell.

The structure belongs to space group I4/mmm (No. 139); the cell edges are 5.047, 5.047 and 16.441 Å and the angles 90.00°, 90.00° and 90.00°. Symmetry generates all atoms from Ca at (0.000, 0.000, 0.174), Sc at (0.000, 0.500, 0.000), Bi at (0.000, 0.000, 0.371) and As at (0.000, 0.000, 0.000).

***

Here is a relaxed structure of PmSm2Tl4 from Alexandria via LeMat-Bulk. Energies are from PBE.

The formation energy comes out at -0.236 eV per atom. As for the raw total energy: -3.616 eV/atom. The size of the total moment comes out at 1.72 μB/cell.

The structure belongs to space group I4/mmm (No. 139); the cell edges are 7.681, 7.681 and 7.549 Å and the angles 90.00°, 90.00° and 90.00°. Symmetry generates all atoms from Pm at (0.000, 0.000, 0.000), Sm at (0.000, 0.500, 0.000) and Tl at (0.250, 0.250, 0.250).

***

Question: Among the records above, which one has the highest raw total energy?
Answer: PmSm2Tl4

***

Question: Among the records above, which one has the lowest size of the total moment?
Answer: Ca2Sc2Bi2As

***

Question: size of the total moment of number 1 (Ca2Sc2Bi2As)?
Answer: 0.00 μB/cell